The following is a DFT calculation (GGA-PBE) of a relaxed MgNiSbPd crystal.

Cell lengths 4.5151, 4.5151, 4.5151 Å; angles 60.00, 60.00, 60.00 degrees
Positions (direct):
Mg 0.5000 0.5000 0.5000
Ni 0.7500 0.7500 0.7500
Sb 0.0000 0.0000 0.0000
Pd 0.2500 0.2500 0.2500

Summary:
For the distance to the lowest polymorph of the same formula, the calculation gives 0.0000 eV/atom. The calculation puts the density at 7.94 Mg/m³. The calculation puts the total DFT energy (no corrections) at -4.508 eV per atom. The calculation puts the total magnetization at 0.0 μB per formula unit.

The following is a DFT calculation (GGA-PBE) of a relaxed Cs3NbBr6 crystal.

Cell lengths 8.4657, 8.4657, 8.4657 Å; angles 60.00, 60.00, 60.00 degrees
Positions (direct):
Br 0.2207 0.2207 0.7793
Br 0.2207 0.7793 0.2207
Br 0.7793 0.7793 0.2207
Br 0.7793 0.2207 0.7793
Br 0.7793 0.2207 0.2207
Br 0.2207 0.7793 0.7793
Cs 0.5000 0.5000 0.5000
Cs 0.7500 0.7500 0.7500
Cs 0.2500 0.2500 0.2500
Nb 0.0000 0.0000 0.0000

Summary:
The calculation puts the density at 3.76 Mg/m³. The calculation puts the total DFT energy (no corrections) at -3.629 eV per atom. The calculation puts the total magnetization at 2.0 μB per formula unit.